[1]
This record from Alexandria via LeMat-Bulk describes a geometry-optimized SmPaFe structure. The functional is PBE.

Results
Energy relative to the elements   0.06 eV/atom
Relative energy among the computed polymorphs   115 meV per atom
Space group   P3m1
Magnetic moment   0.000 Bohr magnetons per cell

a = 3.670 Å, b = 3.670 Å, c = 6.209 Å
α = 90.00°, β = 90.00°, γ = 120.00°
Atoms (fractional coordinates):
Sm 0.000 0.000 0.000
Pa 0.667 0.333 0.485
Fe 0.333 0.667 0.686

---

[2]
This record from Alexandria via LeMat-Bulk describes a geometry-optimized Na2NbAg structure. The functional is PBE.

Results
Energy relative to the elements   1.03 eV/atom
Relative energy among the computed polymorphs   0 meV per atom
Space group   I-42d
Magnetic moment   7.208 Bohr magnetons per cell

a = 6.600 Å, b = 6.600 Å, c = 6.600 Å
α = 101.23°, β = 101.23°, γ = 127.61°
Atoms (fractional coordinates):
Na 0.090 0.125 0.465
Na 0.375 0.910 0.035
Na 0.660 0.625 0.535
Na 0.875 0.340 0.965
Nb 0.250 0.750 0.500
Nb 0.500 0.500 0.000
Ag 0.000 0.000 0.000
Ag 0.750 0.250 0.500

---

[3]
This record from Alexandria via LeMat-Bulk describes a geometry-optimized Li3Np structure. The functional is PBE.

Results
Energy relative to the elements   0.69 eV/atom
Space group   P6_3/mmc
Magnetic moment   12.849 Bohr magnetons per cell

a = 6.506 Å, b = 6.506 Å, c = 4.911 Å
α = 90.00°, β = 90.00°, γ = 120.00°
Atoms (fractional coordinates):
Li 0.147 0.295 0.250
Li 0.147 0.853 0.250
Li 0.295 0.147 0.750
Li 0.705 0.853 0.250
Li 0.853 0.147 0.750
Li 0.853 0.705 0.750
Np 0.333 0.667 0.750
Np 0.667 0.333 0.250

---

[4]
This record from Alexandria via LeMat-Bulk describes a geometry-optimized Nd3SnGe2Rh9 structure. The functional is PBE.

Results
Energy relative to the elements   -0.27 eV/atom
Space group   P-3m1
Magnetic moment   0.000 Bohr magnetons per cell

a = 6.924 Å, b = 6.924 Å, c = 7.453 Å
α = 90.00°, β = 90.00°, γ = 120.00°
Atoms (fractional coordinates):
Nd 0.000 0.000 0.000
Nd 0.333 0.667 0.681
Nd 0.667 0.333 0.319
Sn 0.000 0.000 0.500
Ge 0.333 0.667 0.150
Ge 0.667 0.333 0.850
Rh 0.000 0.500 0.000
Rh 0.192 0.384 0.367
Rh 0.192 0.808 0.367
Rh 0.384 0.192 0.633
Rh 0.500 0.000 0.000
Rh 0.500 0.500 0.000
Rh 0.616 0.808 0.367
Rh 0.808 0.192 0.633
Rh 0.808 0.616 0.633

---

[5]
This record from Alexandria via LeMat-Bulk describes a geometry-optimized LiBe3 structure. The functional is PBE.

Results
Energy relative to the elements   0.12 eV/atom
Relative energy among the computed polymorphs   91 meV per atom
Space group   P2/m
Magnetic moment   0.000 Bohr magnetons per cell

a = 2.212 Å, b = 3.668 Å, c = 4.493 Å
α = 90.00°, β = 100.49°, γ = 90.00°
Atoms (fractional coordinates):
Li 0.000 0.000 0.000
Be 0.238 0.500 0.734
Be 0.500 0.000 0.500
Be 0.762 0.500 0.266

---

[6]
This record from Alexandria via LeMat-Bulk describes a geometry-optimized Tl2CuNi2 structure. The functional is PBE.

Results
Energy relative to the elements   0.39 eV/atom
Relative energy among the computed polymorphs   134 meV per atom
Space group   I4/mmm
Magnetic moment   0.326 Bohr magnetons per cell

a = 8.281 Å, b = 8.281 Å, c = 8.281 Å
α = 156.54°, β = 156.54°, γ = 33.42°
Atoms (fractional coordinates):
Tl 0.111 0.111 0.000
Tl 0.889 0.889 0.000
Cu 0.500 0.500 0.000
Ni 0.250 0.750 0.500
Ni 0.750 0.250 0.500

---

[7]
This record from Alexandria via LeMat-Bulk describes a geometry-optimized K2Rb8Ag structure. The functional is PBE.

Results
Energy relative to the elements   0.04 eV/atom
Space group   C2/m
Magnetic moment   0.000 Bohr magnetons per cell

a = 13.346 Å, b = 13.346 Å, c = 9.501 Å
α = 108.78°, β = 108.78°, γ = 32.25°
Atoms (fractional coordinates):
K 0.184 0.184 0.115
K 0.816 0.816 0.885
Rb 0.008 0.008 0.732
Rb 0.205 0.205 0.617
Rb 0.373 0.373 0.196
Rb 0.409 0.409 0.731
Rb 0.591 0.591 0.269
Rb 0.627 0.627 0.804
Rb 0.795 0.795 0.383
Rb 0.992 0.992 0.268
Ag 0.500 0.500 0.500

---

[8]
This record from Alexandria via LeMat-Bulk describes a geometry-optimized CsSbPHPt structure. The functional is PBE.

Results
Relative energy among the computed polymorphs   117 meV per atom
Space group   P1
Magnetic moment   0.000 Bohr magnetons per cell

a = 4.067 Å, b = 5.034 Å, c = 6.742 Å
α = 100.95°, β = 91.81°, γ = 90.78°
Atoms (fractional coordinates):
Cs 0.000 0.000 0.000
Sb 0.504 0.378 0.608
P 0.503 0.883 0.416
H 0.812 0.379 0.350
Pt 0.015 0.646 0.467

---

[9]
This record from Alexandria via LeMat-Bulk describes a geometry-optimized CeSmGaPt structure. The functional is PBE.

Results
Energy relative to the elements   -0.80 eV/atom
Relative energy among the computed polymorphs   0 meV per atom
Space group   Amm2
Magnetic moment   0.925 Bohr magnetons per cell

a = 4.478 Å, b = 5.744 Å, c = 5.744 Å
α = 41.38°, β = 90.00°, γ = 90.00°
Atoms (fractional coordinates):
Ce 0.000 0.000 0.000
Sm 0.500 0.717 0.717
Ga 0.500 0.433 0.433
Pt 0.000 0.284 0.284

---

[10]
This record from Alexandria via LeMat-Bulk describes a geometry-optimized ZrIr2Os structure. The functional is PBE.

Results
Energy relative to the elements   0.09 eV/atom
Relative energy among the computed polymorphs   563 meV per atom
Space group   Fm-3m
Magnetic moment   2.197 Bohr magnetons per cell

a = 4.538 Å, b = 4.538 Å, c = 4.538 Å
α = 60.00°, β = 60.00°, γ = 60.00°
Atoms (fractional coordinates):
Zr 0.000 0.000 0.000
Ir 0.250 0.250 0.250
Ir 0.750 0.750 0.750
Os 0.500 0.500 0.500

---

[11]
This record from Alexandria via LeMat-Bulk describes a geometry-optimized Cs3BaU2O9 structure. The functional is PBE.

Results
Formation energy (no corrections)   -2.582 eV per atom
Space group   P-3m1
Magnetic moment   0.762 Bohr magnetons per cell

a = 6.484 Å, b = 6.484 Å, c = 8.021 Å
α = 90.00°, β = 90.00°, γ = 120.00°
Atoms (fractional coordinates):
Cs 0.000 0.000 0.000
Cs 0.333 0.667 0.662
Cs 0.667 0.333 0.338
Ba 0.000 0.000 0.500
U 0.333 0.667 0.149
U 0.667 0.333 0.851
O 0.000 0.500 0.000
O 0.188 0.377 0.295
O 0.188 0.812 0.295
O 0.377 0.188 0.705
O 0.500 0.000 0.000
O 0.500 0.500 0.000
O 0.623 0.812 0.295
O 0.812 0.188 0.705
O 0.812 0.623 0.705

---

[12]
This record from Alexandria via LeMat-Bulk describes a geometry-optimized La6Tb2CeHo structure. The functional is PBE.

Results
Energy relative to the elements   0.22 eV/atom
Space group   C2/m
Magnetic moment   1.106 Bohr magnetons per cell

a = 7.012 Å, b = 7.012 Å, c = 9.012 Å
α = 107.58°, β = 107.58°, γ = 59.00°
Atoms (fractional coordinates):
La 0.095 0.613 0.695
La 0.164 0.164 0.917
La 0.387 0.905 0.305
La 0.613 0.095 0.695
La 0.836 0.836 0.083
La 0.905 0.387 0.305
Tb 0.398 0.398 0.319
Tb 0.602 0.602 0.681
Ce 0.000 0.000 0.500
Ho 0.500 0.500 0.000

---

[13]
This record from Alexandria via LeMat-Bulk describes a geometry-optimized LiPdI structure. The functional is PBE.

Results
Relative energy among the computed polymorphs   35 meV per atom
Formation energy (no corrections)   -0.522 eV per atom
Space group   P1
Magnetic moment   0.000 Bohr magnetons per cell

a = 4.498 Å, b = 4.500 Å, c = 8.529 Å
α = 85.63°, β = 85.53°, γ = 62.78°
Atoms (fractional coordinates):
Li 0.000 0.000 0.000
Li 0.324 0.321 0.765
Pd 0.001 0.998 0.695
Pd 0.625 0.623 0.878
I 0.379 0.380 0.128
I 0.680 0.676 0.575

---

[14]
This record from Alexandria via LeMat-Bulk describes a geometry-optimized LaTb2Pr6Y3 structure. The functional is PBE.

Results
Energy relative to the elements   0.01 eV/atom
Space group   C2/m
Magnetic moment   0.000 Bohr magnetons per cell

a = 6.352 Å, b = 6.352 Å, c = 12.032 Å
α = 95.04°, β = 95.04°, γ = 120.02°
Atoms (fractional coordinates):
La 0.000 0.000 0.000
Tb 0.334 0.666 0.000
Tb 0.666 0.334 0.000
Pr 0.084 0.419 0.252
Pr 0.250 0.250 0.748
Pr 0.419 0.084 0.252
Pr 0.581 0.916 0.748
Pr 0.750 0.750 0.252
Pr 0.916 0.581 0.748
Y 0.167 0.833 0.500
Y 0.500 0.500 0.500
Y 0.833 0.167 0.500

---

[15]
This record from Alexandria via LeMat-Bulk describes a geometry-optimized ZrTa2Al structure. The functional is PBE.

Results
Energy relative to the elements   -0.03 eV/atom
Space group   C2/m
Magnetic moment   0.000 Bohr magnetons per cell

a = 5.628 Å, b = 5.628 Å, c = 2.840 Å
α = 100.07°, β = 100.07°, γ = 117.95°
Atoms (fractional coordinates):
Zr 0.000 0.000 0.000
Ta 0.000 0.500 0.500
Ta 0.500 0.000 0.500
Al 0.500 0.500 0.000

---

[16]
This record from Alexandria via LeMat-Bulk describes a geometry-optimized Tm5ThSc structure. The functional is PBE.

Results
Energy relative to the elements   0.06 eV/atom
Space group   P2_1/m
Magnetic moment   0.002 Bohr magnetons per cell

a = 9.114 Å, b = 3.517 Å, c = 13.458 Å
α = 90.00°, β = 103.65°, γ = 90.00°
Atoms (fractional coordinates):
Tm 0.005 0.250 0.371
Tm 0.205 0.750 0.884
Tm 0.332 0.750 0.507
Tm 0.351 0.250 0.721
Tm 0.416 0.250 0.083
Tm 0.584 0.750 0.917
Tm 0.649 0.750 0.279
Tm 0.668 0.250 0.493
Tm 0.795 0.250 0.116
Tm 0.995 0.750 0.629
Th 0.106 0.750 0.124
Th 0.894 0.250 0.876
Sc 0.345 0.250 0.304
Sc 0.655 0.750 0.696

---

[17]
This record from Alexandria via LeMat-Bulk describes a geometry-optimized SiNiSb4 structure. The functional is PBE.

Results
Formation energy (no corrections)   0.927 eV per atom
Space group   F-43m
Magnetic moment   0.559 Bohr magnetons per cell

a = 6.075 Å, b = 6.075 Å, c = 6.075 Å
α = 60.00°, β = 60.00°, γ = 60.00°
Atoms (fractional coordinates):
Si 0.000 0.000 0.000
Ni 0.750 0.750 0.750
Sb 0.375 0.375 0.375
Sb 0.375 0.375 0.875
Sb 0.375 0.875 0.375
Sb 0.875 0.375 0.375